[1]
Crystalline DyYPbAu at its relaxed geometry, computed with PBE.

a b c (Å): 7.4420 7.4420 7.4420
angles (deg): 90.00 90.00 90.00
With the nearest neighbours (Å) after each atom.
Space group F-43m (No. 216)
Symmetry-distinct sites (fractional):
1 Dy 0.0000 0.0000 0.0000 (multiplicity 4)  4 Au 3.22, 4 Pb 3.22
2 Y 0.0000 0.0000 0.5000 (multiplicity 4)  4 Pb 3.22, 4 Au 3.22
3 Pb 0.2500 0.2500 0.2500 (multiplicity 4)  4 Dy 3.22, 4 Y 3.22
4 Au 0.2500 0.2500 0.7500 (multiplicity 4)  4 Dy 3.22, 4 Y 3.22

Density = 10.6 Mg/m³
Formation energy = -0.62 eV/atom

[2]
Crystalline DyZrPbAu at its relaxed geometry, computed with PBE.

a b c (Å): 7.2344 7.2344 7.2344
angles (deg): 90.00 90.00 90.00
With the nearest neighbours (Å) after each atom.
Space group F-43m (No. 216)
Symmetry-distinct sites (fractional):
1 Dy 0.0000 0.0000 0.0000 (multiplicity 4)  4 Pb 3.13, 4 Au 3.13
2 Zr 0.0000 0.0000 0.5000 (multiplicity 4)  4 Pb 3.13, 4 Au 3.13
3 Pb 0.2500 0.2500 0.2500 (multiplicity 4)  4 Zr 3.13, 4 Dy 3.13
4 Au 0.2500 0.2500 0.7500 (multiplicity 4)  4 Zr 3.13, 4 Dy 3.13

Density = 11.5 Mg/m³
Formation energy = -0.38 eV/atom

[3]
Crystalline Dy2Pd9Au at its relaxed geometry, computed with PBE.

a b c (Å): 4.0715 4.0715 12.3371
angles (deg): 90.00 90.00 90.00
With the nearest neighbours (Å) after each atom.
Space group P4/mmm (No. 123)
Symmetry-distinct sites (fractional):
1 Dy 0.0000 0.0000 0.1707 (multiplicity 2)  12 Pd 2.88-2.93
2 Pd 0.0000 0.5000 0.0000 (multiplicity 2)  8 Pd 2.88-2.91, 4 Dy 2.93
3 Pd 0.0000 0.5000 0.3380 (multiplicity 4)  8 Pd 2.85-2.92, 2 Au 2.85, 2 Dy 2.90
4 Pd 0.5000 0.5000 0.1681 (multiplicity 2)  4 Dy 2.88, 8 Pd 2.91-2.92
5 Pd 0.5000 0.5000 0.5000 (multiplicity 1)  8 Pd 2.85, 4 Au 2.88
6 Au 0.0000 0.0000 0.5000 (multiplicity 1)  12 Pd 2.85-2.88

Density = 12.0 Mg/m³
Formation energy = -0.59 eV/atom

[4]
Crystalline DyPd3Au2 at its relaxed geometry, computed with PBE.

a b c (Å): 4.0803 8.8018 5.9228
angles (deg): 90.00 90.00 90.00
With the nearest neighbours (Å) after each atom.
Space group Pmc2_1 (No. 26)
Symmetry-distinct sites (fractional):
1 Dy 0.0000 0.1731 0.0000 (multiplicity 2)  7 Pd 2.80-2.95, 5 Au 2.93-3.00
2 Pd 0.0000 0.4912 0.9861 (multiplicity 2)  1 Dy 2.80, 5 Au 2.85-3.00, 6 Pd 2.91-2.97
3 Pd 0.5000 0.0013 0.7485 (multiplicity 2)  5 Au 2.92-3.02, 4 Dy 2.94-2.95, 3 Pd 2.94-2.96
4 Pd 0.5000 0.3332 0.2465 (multiplicity 2)  5 Au 2.84-3.05, 2 Dy 2.88, 5 Pd 2.91-2.94
5 Au 0.0000 0.1680 0.4948 (multiplicity 2)  7 Pd 2.91-3.00, 2 Au 2.92, 3 Dy 2.93-3.00
6 Au 0.5000 0.3445 0.7309 (multiplicity 2)  8 Pd 2.84-3.05, 2 Au 2.92, 2 Dy 3.00

Density = 13.7 Mg/m³
Formation energy = -0.60 eV/atom